Arrangement 1

{
  "formula": "LuTiGa2",
  "functional": "GGA-PBE",
  "state": "relaxed",
  "total_magnetization_mub_per_fu": 0.0,
  "dos_at_fermi_per_ev_cell": 3.20,
  "lattice": [[1.676, 0.968, 8.264], [-1.676, 0.968, 8.264], [0.000, -1.935, 8.264]],
  "species": ["Lu", "Ti", "Ga", "Ga"],
  "fractional_positions": [[0.000, 0.000, 0.000], [0.500, 0.500, 0.500], [0.243, 0.243, 0.243], [0.757, 0.757, 0.757]]
}


Arrangement 2

{
  "formula": "LuTiGa2",
  "functional": "GGA-PBE",
  "state": "relaxed",
  "total_magnetization_mub_per_fu": 1.3,
  "dos_at_fermi_per_ev_cell": 2.41,
  "lattice": [[4.309, 0.000, 0.000], [0.000, 4.309, 0.000], [0.000, 0.000, 4.032]],
  "species": ["Lu", "Ti", "Ga", "Ga"],
  "fractional_positions": [[0.000, 0.000, 0.000], [0.500, 0.500, 0.000], [0.000, 0.500, 0.500], [0.500, 0.000, 0.500]]
}


Stability summary: most stable arrangement 2, least stable arrangement 1.


Arrangement 1

{
  "formula": "LuTiGa2",
  "functional": "GGA-PBE",
  "state": "relaxed",
  "total_magnetization_mub_per_fu": 0.7,
  "dos_at_fermi_per_ev_cell": 2.19,
  "lattice": [[3.433, 0.000, 0.000], [0.000, 3.433, 0.000], [0.000, 0.000, 6.334]],
  "species": ["Lu", "Ti", "Ga", "Ga"],
  "fractional_positions": [[0.000, 0.000, 0.000], [0.000, 0.000, 0.500], [0.500, 0.500, 0.284], [0.500, 0.500, 0.716]]
}


Arrangement 2

{
  "formula": "LuTiGa2",
  "functional": "GGA-PBE",
  "state": "relaxed",
  "total_magnetization_mub_per_fu": 1.0,
  "dos_at_fermi_per_ev_cell": 4.17,
  "lattice": [[0.000, 3.344, 3.344], [3.344, 0.000, 3.344], [3.344, 3.344, 0.000]],
  "species": ["Lu", "Ti", "Ga", "Ga"],
  "fractional_positions": [[0.000, 0.000, 0.000], [0.500, 0.500, 0.500], [0.250, 0.250, 0.250], [0.750, 0.750, 0.750]]
}


Stability summary: most stable arrangement 1, least stable arrangement 2.


Arrangement 1

{
  "formula": "LuTlGa2",
  "functional": "GGA-PBE",
  "state": "relaxed",
  "total_magnetization_mub_per_fu": 0.0,
  "dos_at_fermi_per_ev_cell": 1.71,
  "lattice": [[2.439, 1.408, 6.450], [-2.439, 1.408, 6.450], [0.000, -2.816, 6.450]],
  "species": ["Lu", "Tl", "Ga", "Ga"],
  "fractional_positions": [[0.000, 0.000, 0.000], [0.500, 0.500, 0.500], [0.356, 0.356, 0.356], [0.644, 0.644, 0.644]]
}


Arrangement 2

{
  "formula": "LuTlGa2",
  "functional": "GGA-PBE",
  "state": "relaxed",
  "total_magnetization_mub_per_fu": 0.0,
  "dos_at_fermi_per_ev_cell": 1.45,
  "lattice": [[4.473, 0.000, 0.000], [0.000, 4.473, 0.000], [0.000, 0.000, 4.294]],
  "species": ["Lu", "Tl", "Ga", "Ga"],
  "fractional_positions": [[0.000, 0.000, 0.000], [0.500, 0.500, 0.000], [0.000, 0.500, 0.500], [0.500, 0.000, 0.500]]
}


Stability summary: most stable arrangement 2, least stable arrangement 1.


Arrangement 1

{
  "formula": "Tm2LuGa",
  "functional": "GGA-PBE",
  "state": "relaxed",
  "total_magnetization_mub_per_fu": 0.0,
  "dos_at_fermi_per_ev_cell": 4.13,
  "lattice": [[1.714, 0.990, 11.434], [-1.714, 0.990, 11.434], [0.000, -1.979, 11.434]],
  "species": ["Tm", "Tm", "Lu", "Ga"],
  "fractional_positions": [[0.086, 0.086, 0.086], [0.914, 0.914, 0.914], [0.500, 0.500, 0.500], [0.000, 0.000, 0.000]]
}


Arrangement 2

{
  "formula": "Tm2LuGa",
  "functional": "GGA-PBE",
  "state": "relaxed",
  "total_magnetization_mub_per_fu": 0.0,
  "dos_at_fermi_per_ev_cell": 3.88,
  "lattice": [[3.458, 0.000, 0.000], [0.000, 3.458, 0.000], [0.000, 0.000, 8.766]],
  "species": ["Tm", "Tm", "Lu", "Ga"],
  "fractional_positions": [[0.000, 0.000, 0.212], [0.000, 0.000, 0.788], [0.500, 0.500, 0.500], [0.500, 0.500, 0.000]]
}


Stability summary: most stable arrangement 2, least stable arrangement 1.


Arrangement 1

{
  "formula": "Y2LuGa",
  "functional": "GGA-PBE",
  "state": "relaxed",
  "total_magnetization_mub_per_fu": 0.0,
  "dos_at_fermi_per_ev_cell": 4.66,
  "lattice": [[3.506, 0.000, 0.000], [0.000, 3.506, 0.000], [0.000, 0.000, 8.912]],
  "species": ["Y", "Y", "Lu", "Ga"],
  "fractional_positions": [[0.000, 0.000, 0.211], [0.000, 0.000, 0.789], [0.500, 0.500, 0.500], [0.500, 0.500, 0.000]]
}


Arrangement 2

{
  "formula": "Y2LuGa",
  "functional": "GGA-PBE",
  "state": "relaxed",
  "total_magnetization_mub_per_fu": 0.0,
  "dos_at_fermi_per_ev_cell": 4.42,
  "lattice": [[1.742, 1.005, 11.577], [-1.742, 1.005, 11.577], [0.000, -2.011, 11.577]],
  "species": ["Y", "Y", "Lu", "Ga"],
  "fractional_positions": [[0.086, 0.086, 0.086], [0.914, 0.914, 0.914], [0.500, 0.500, 0.500], [0.000, 0.000, 0.000]]
}


Arrangement 3

{
  "formula": "Y2LuGa",
  "functional": "GGA-PBE",
  "state": "relaxed",
  "total_magnetization_mub_per_fu": 0.0,
  "dos_at_fermi_per_ev_cell": 5.27,
  "lattice": [[4.720, 0.000, 0.000], [0.000, 4.720, 0.000], [0.000, 0.000, 4.679]],
  "species": ["Y", "Y", "Lu", "Ga"],
  "fractional_positions": [[0.000, 0.500, 0.000], [0.500, 0.000, 0.000], [0.000, 0.000, 0.500], [0.500, 0.500, 0.500]]
}


Stability summary: most stable arrangement 1, least stable arrangement 2.


Arrangement 1

{
  "formula": "LuZrGa2",
  "functional": "GGA-PBE",
  "state": "relaxed",
  "total_magnetization_mub_per_fu": 0.0,
  "dos_at_fermi_per_ev_cell": 2.82,
  "lattice": [[0.000, 3.433, 3.433], [3.433, 0.000, 3.433], [3.433, 3.433, 0.000]],
  "species": ["Lu", "Zr", "Ga", "Ga"],
  "fractional_positions": [[0.000, 0.000, 0.000], [0.500, 0.500, 0.500], [0.250, 0.250, 0.250], [0.750, 0.750, 0.750]]
}


Arrangement 2

{
  "formula": "LuZrGa2",
  "functional": "GGA-PBE",
  "state": "relaxed",
  "total_magnetization_mub_per_fu": 0.0,
  "dos_at_fermi_per_ev_cell": 2.83,
  "lattice": [[1.733, 1.001, 8.384], [-1.733, 1.001, 8.384], [0.000, -2.001, 8.384]],
  "species": ["Lu", "Zr", "Ga", "Ga"],
  "fractional_positions": [[0.000, 0.000, 0.000], [0.500, 0.500, 0.500], [0.248, 0.248, 0.248], [0.752, 0.752, 0.752]]
}


Arrangement 3

{
  "formula": "LuZrGa2",
  "functional": "GGA-PBE",
  "state": "relaxed",
  "total_magnetization_mub_per_fu": 0.0,
  "dos_at_fermi_per_ev_cell": 2.92,
  "lattice": [[4.513, 0.000, 0.000], [0.000, 4.513, 0.000], [0.000, 0.000, 3.937]],
  "species": ["Lu", "Zr", "Ga", "Ga"],
  "fractional_positions": [[0.000, 0.000, 0.000], [0.500, 0.500, 0.000], [0.000, 0.500, 0.500], [0.500, 0.000, 0.500]]
}


Stability summary: most stable arrangement 3, least stable arrangement 2.


Arrangement 1

{
  "formula": "MgGa6",
  "functional": "GGA-PBE",
  "state": "relaxed",
  "total_magnetization_mub_per_fu": 0.0,
  "dos_at_fermi_per_ev_cell": 4.51,
  "lattice": [[-3.570, 3.570, 3.570], [3.570, -3.570, 3.570], [3.570, 3.570, -3.570]],
  "species": ["Mg", "Ga", "Ga", "Ga", "Ga", "Ga", "Ga"],
  "fractional_positions": [[0.000, 0.000, 0.000], [0.250, 0.500, 0.750], [0.250, 0.750, 0.500], [0.500, 0.250, 0.750], [0.500, 0.750, 0.250], [0.750, 0.250, 0.500], [0.750, 0.500, 0.250]]
}


Arrangement 2

{
  "formula": "MgGa6",
  "functional": "GGA-PBE",
  "state": "relaxed",
  "total_magnetization_mub_per_fu": 0.0,
  "dos_at_fermi_per_ev_cell": 1.62,
  "lattice": [[4.252, 0.000, 0.000], [0.000, 4.252, 0.000], [0.000, 0.000, 7.625]],
  "species": ["Mg", "Ga", "Ga", "Ga", "Ga", "Ga", "Ga"],
  "fractional_positions": [[0.000, 0.000, 0.000], [0.000, 0.000, 0.500], [0.000, 0.500, 0.275], [0.000, 0.500, 0.725], [0.500, 0.000, 0.275], [0.500, 0.000, 0.725], [0.500, 0.500, 0.000]]
}


Arrangement 3

{
  "formula": "MgGa6",
  "functional": "GGA-PBE",
  "state": "relaxed",
  "total_magnetization_mub_per_fu": 0.0,
  "dos_at_fermi_per_ev_cell": 4.75,
  "lattice": [[6.033, 0.000, 0.000], [0.000, 6.033, 0.000], [0.000, 0.000, 7.500]],
  "species": ["Mg", "Mg", "Ga", "Ga", "Ga", "Ga", "Ga", "Ga", "Ga", "Ga", "Ga", "Ga", "Ga", "Ga"],
  "fractional_positions": [[0.250, 0.750, 0.000], [0.750, 0.250, 0.000], [0.083, 0.583, 0.355], [0.083, 0.917, 0.645], [0.250, 0.250, 0.166], [0.250, 0.250, 0.834], [0.417, 0.583, 0.645], [0.417, 0.917, 0.355], [0.583, 0.083, 0.645], [0.583, 0.417, 0.355], [0.750, 0.750, 0.166], [0.750, 0.750, 0.834], [0.917, 0.083, 0.355], [0.917, 0.417, 0.645]]
}


Stability summary: most stable arrangement 3, least stable arrangement 1.


Arrangement 1

{
  "formula": "Mg2Ga3",
  "functional": "GGA-PBE",
  "state": "relaxed",
  "total_magnetization_mub_per_fu": 0.0,
  "dos_at_fermi_per_ev_cell": 3.32,
  "lattice": [[2.904, -4.503, 0.000], [2.904, 4.503, 0.000], [0.000, 0.000, 7.745]],
  "species": ["Mg", "Mg", "Mg", "Mg", "Ga", "Ga", "Ga", "Ga", "Ga", "Ga"],
  "fractional_positions": [[0.150, 0.850, 0.905], [0.350, 0.650, 0.405], [0.650, 0.350, 0.595], [0.850, 0.150, 0.095], [0.000, 0.000, 0.500], [0.138, 0.362, 0.750], [0.362, 0.138, 0.250], [0.500, 0.500, 0.000], [0.638, 0.862, 0.750], [0.862, 0.638, 0.250]]
}


Arrangement 2

{
  "formula": "Mg2Ga3",
  "functional": "GGA-PBE",
  "state": "relaxed",
  "total_magnetization_mub_per_fu": 0.0,
  "dos_at_fermi_per_ev_cell": 4.08,
  "lattice": [[6.692, 0.000, 0.000], [0.000, 6.692, 0.000], [0.000, 0.000, 4.413]],
  "species": ["Mg", "Mg", "Mg", "Mg", "Ga", "Ga", "Ga", "Ga", "Ga", "Ga"],
  "fractional_positions": [[0.171, 0.329, 0.000], [0.329, 0.829, 0.000], [0.671, 0.171, 0.000], [0.829, 0.671, 0.000], [0.000, 0.000, 0.500], [0.136, 0.636, 0.500], [0.364, 0.136, 0.500], [0.500, 0.500, 0.500], [0.636, 0.864, 0.500], [0.864, 0.364, 0.500]]
}


Arrangement 3

{
  "formula": "Mg2Ga3",
  "functional": "GGA-PBE",
  "state": "relaxed",
  "total_magnetization_mub_per_fu": 0.0,
  "dos_at_fermi_per_ev_cell": 1.45,
  "lattice": [[2.668, 1.540, 4.166], [-2.668, 1.540, 4.166], [0.000, -3.081, 4.166]],
  "species": ["Mg", "Mg", "Ga", "Ga", "Ga"],
  "fractional_positions": [[0.128, 0.128, 0.128], [0.872, 0.872, 0.872], [0.000, 0.500, 0.500], [0.500, 0.000, 0.500], [0.500, 0.500, 0.000]]
}


Stability summary: most stable arrangement 2, least stable arrangement 3.